# 1
The following is a PBE with a Hubbard U calculation of MnAg4F8 after structural relaxation, from the Alexandria database.

Computed properties:
- SG = R-3m, No. 166
- E_tot (eV for the cell shown) = -51.57
- mass density (g cm⁻³) = 4.67

```
13
Lattice="-3.469 0.451 -6.026 6.437 2.615 0.519 2.223 -5.928 2.304" Properties=species:S:1:pos:R:3 pbc="T T T"
F 3.467 -3.526 1.769
F 0.470 -0.633 -2.643
F -0.997 -0.442 -5.191
F 1.725 0.664 -4.971
F 3.485 1.086 -1.925
F 6.188 -2.420 1.988
F 1.707 -3.948 -1.278
F 4.722 -2.229 -0.560
Ag -1.734 0.226 -3.013
Ag 1.484 1.533 -2.754
Ag 1.973 -4.169 -3.462
Ag 0.000 0.000 0.000
Mn 4.330 -1.657 1.411
```

---

# 2
The following is a PBE with a Hubbard U calculation of PuCr2CuO8 after structural relaxation, from the Alexandria database.

Computed properties:
- SG = P2/m, No. 10
- E_tot (eV for the cell shown) = -93.18
- mass density (g cm⁻³) = 6.59

```
12
Lattice="-1.095 0.097 4.602 -4.053 -2.254 -0.912 2.795 -5.341 0.777" Properties=species:S:1:pos:R:3 pbc="T T T"
O 0.398 -4.378 4.074
O -0.993 -1.721 3.687
O -1.606 -0.672 1.158
O -2.147 -4.156 2.925
O -2.750 -3.120 0.394
O -3.542 -1.486 2.533
O -1.359 -5.777 0.781
O -0.206 -3.342 1.542
Cr -0.449 -5.138 2.436
Cr -1.903 -2.360 2.032
Cu 0.000 0.000 0.000
Pu 1.398 -2.670 0.389
```